Run w
Below is GaAgPO after structural relaxation, with properties calculated at the PBE-GGA level.

a = 3.7364 Å, b = 3.7364 Å, c = 8.8776 Å
α = 90.00°, β = 90.00°, γ = 90.00°
Fractional coordinates of all 8 atoms:
Ga 0.2500 0.2500 0.0977
Ga 0.7500 0.7500 0.9023
Ag 0.2500 0.7500 0.5000
Ag 0.7500 0.2500 0.5000
P 0.2500 0.2500 0.7056
P 0.7500 0.7500 0.2944
O 0.2500 0.7500 0.0000
O 0.7500 0.2500 0.0000

Output
SG = P4/nmm (129)


Run x
Below is GaAgPO after structural relaxation, with properties calculated at the PBE-GGA level.

a = 4.1788 Å, b = 4.1788 Å, c = 8.2903 Å
α = 90.00°, β = 90.00°, γ = 90.00°
Fractional coordinates of all 8 atoms:
Ga 0.2500 0.7500 0.0000
Ga 0.7500 0.2500 0.0000
Ag 0.2500 0.2500 0.4410
Ag 0.7500 0.7500 0.5590
P 0.2500 0.2500 0.8385
P 0.7500 0.7500 0.1615
O 0.2500 0.7500 0.5000
O 0.7500 0.2500 0.5000

Output
SG = P4/nmm (129)


Run y
Below is GaAgPO after structural relaxation, with properties calculated at the PBE-GGA level.

a = 3.9040 Å, b = 6.7578 Å, c = 5.2470 Å
α = 90.00°, β = 90.00°, γ = 90.00°
Fractional coordinates of all 8 atoms:
Ga 0.0000 0.1545 0.0000
Ga 0.0000 0.8455 0.5000
Ag 0.5000 0.3004 0.4335
Ag 0.5000 0.6996 0.9335
P 0.5000 0.3402 0.9147
P 0.5000 0.6598 0.4147
O 0.0000 0.0973 0.3550
O 0.0000 0.9027 0.8550

Output
SG = Pmc2_1 (26)


Name the most stable of them. run y.


Run w
Below is GaAgSO after structural relaxation, with properties calculated at the PBE-GGA level.

a = 5.8531 Å, b = 5.4075 Å, c = 9.3870 Å
α = 90.00°, β = 99.27°, γ = 90.00°
Fractional coordinates of all 16 atoms:
Ga 0.0589 0.0000 0.3946
Ga 0.4392 0.8318 0.6023
Ga 0.5608 0.3318 0.3977
Ga 0.9411 0.5000 0.6054
Ag 0.0131 0.7919 0.9303
Ag 0.4861 0.1039 0.0571
Ag 0.5139 0.6039 0.9429
Ag 0.9869 0.2919 0.0697
S 0.1168 0.3911 0.8223
S 0.3883 0.4810 0.1880
S 0.6117 0.9810 0.8120
S 0.8832 0.8911 0.1777
O 0.1247 0.7425 0.5368
O 0.3752 0.0834 0.4562
O 0.6248 0.5834 0.5438
O 0.8753 0.2425 0.4632

Output
SG = P2_1 (4)


Run x
Below is GaAgSO after structural relaxation, with properties calculated at the PBE-GGA level.

a = 6.4707 Å, b = 7.3692 Å, c = 5.9857 Å
α = 90.00°, β = 90.00°, γ = 90.00°
Fractional coordinates of all 16 atoms:
Ga 0.0819 0.1435 0.0000
Ga 0.4181 0.1435 0.5000
Ga 0.5819 0.8565 0.0000
Ga 0.9181 0.8565 0.5000
Ag 0.1854 0.6022 0.9093
Ag 0.3146 0.6022 0.4093
Ag 0.6854 0.3978 0.9093
Ag 0.8146 0.3978 0.4093
S 0.0697 0.1287 0.6073
S 0.4303 0.1287 0.1073
S 0.5697 0.8713 0.6073
S 0.9303 0.8713 0.1073
O 0.0089 0.6378 0.5842
O 0.4911 0.6378 0.0842
O 0.5089 0.3622 0.5842
O 0.9911 0.3622 0.0842

Output
SG = Pca2_1 (29)


Name the most stable of them. run w.


Run w
Below is GaAgSO after structural relaxation, with properties calculated at the PBE-GGA level.

a = 3.7414 Å, b = 3.7414 Å, c = 8.7670 Å
α = 90.00°, β = 90.00°, γ = 90.00°
Fractional coordinates of all 8 atoms:
Ga 0.2500 0.2500 0.0968
Ga 0.7500 0.7500 0.9032
Ag 0.2500 0.7500 0.5000
Ag 0.7500 0.2500 0.5000
S 0.2500 0.2500 0.7151
S 0.7500 0.7500 0.2849
O 0.2500 0.7500 0.0000
O 0.7500 0.2500 0.0000

Output
SG = P4/nmm (129)


Run x
Below is GaAgSO after structural relaxation, with properties calculated at the PBE-GGA level.

a = 7.2119 Å, b = 7.0790 Å, c = 5.5217 Å
α = 90.00°, β = 109.33°, γ = 90.00°
Fractional coordinates of all 16 atoms:
Ga 0.0046 0.0957 0.2618
Ga 0.0046 0.4043 0.7618
Ga 0.9954 0.5957 0.2382
Ga 0.9954 0.9043 0.7382
Ag 0.4901 0.7374 0.3363
Ag 0.4901 0.7626 0.8363
Ag 0.5099 0.2374 0.1637
Ag 0.5099 0.2626 0.6637
S 0.2725 0.5099 0.6247
S 0.2725 0.9901 0.1247
S 0.7275 0.0099 0.8753
S 0.7275 0.4901 0.3753
O 0.0127 0.1624 0.5977
O 0.0127 0.3376 0.0977
O 0.9873 0.6624 0.9023
O 0.9873 0.8376 0.4023

Output
SG = P2_1/c (14)


Name the most stable of them. run x.


Run w
Below is ScGaAgPd after structural relaxation, with properties calculated at the PBE-GGA level.

a = 4.6030 Å, b = 4.6030 Å, c = 4.6030 Å
α = 60.00°, β = 60.00°, γ = 60.00°
Fractional coordinates of all 4 atoms:
Sc 0.0000 0.0000 0.0000
Ga 0.7500 0.7500 0.7500
Ag 0.2500 0.2500 0.2500
Pd 0.5000 0.5000 0.5000

Output
SG = F-43m (216)


Run x
Below is ScGaAgPd after structural relaxation, with properties calculated at the PBE-GGA level.

a = 4.5942 Å, b = 4.5942 Å, c = 4.5942 Å
α = 60.00°, β = 60.00°, γ = 60.00°
Fractional coordinates of all 4 atoms:
Sc 0.0000 0.0000 0.0000
Ga 0.5000 0.5000 0.5000
Ag 0.2500 0.2500 0.2500
Pd 0.7500 0.7500 0.7500

Output
SG = F-43m (216)


Run y
Below is ScGaAgPd after structural relaxation, with properties calculated at the PBE-GGA level.

a = 4.6227 Å, b = 4.6227 Å, c = 4.6227 Å
α = 60.00°, β = 60.00°, γ = 60.00°
Fractional coordinates of all 4 atoms:
Sc 0.0000 0.0000 0.0000
Ga 0.2500 0.2500 0.2500
Ag 0.5000 0.5000 0.5000
Pd 0.7500 0.7500 0.7500

Output
SG = F-43m (216)


Name the most stable of them. run x.


Run w
Below is PmGaAg after structural relaxation, with properties calculated at the PBE-GGA level.

a = 4.7300 Å, b = 4.7300 Å, c = 4.7300 Å
α = 60.00°, β = 60.00°, γ = 60.00°
Fractional coordinates of all 3 atoms:
Pm 0.0000 0.0000 0.0000
Ga 0.7500 0.7500 0.7500
Ag 0.5000 0.5000 0.5000

Output
SG = F-43m (216)


Run x
Below is PmGaAg after structural relaxation, with properties calculated at the PBE-GGA level.

a = 4.9029 Å, b = 4.9029 Å, c = 4.9029 Å
α = 60.00°, β = 60.00°, γ = 60.00°
Fractional coordinates of all 3 atoms:
Pm 0.0000 0.0000 0.0000
Ga 0.2500 0.2500 0.2500
Ag 0.7500 0.7500 0.7500

Output
SG = F-43m (216)


Name the most stable of them. run w.


Run w
Below is GaAgTeS after structural relaxation, with properties calculated at the PBE-GGA level.

a = 6.1087 Å, b = 6.1087 Å, c = 6.9866 Å
α = 114.44°, β = 114.44°, γ = 90.07°
Fractional coordinates of all 8 atoms:
Ga 0.1087 0.8913 0.5000
Ga 0.8913 0.1087 0.0000
Ag 0.3928 0.6816 0.9981
Ag 0.6816 0.3928 0.4981
Te 0.2421 0.5106 0.2490
Te 0.5106 0.2421 0.7490
S 0.0088 0.7953 0.7497
S 0.7953 0.0088 0.2497

Output
SG = Cc (9)


Run x
Below is GaAgTeS after structural relaxation, with properties calculated at the PBE-GGA level.

a = 7.1190 Å, b = 7.1190 Å, c = 7.1190 Å
α = 130.61°, β = 127.58°, γ = 74.89°
Fractional coordinates of all 8 atoms:
Ga 0.1354 0.3854 0.7500
Ga 0.3646 0.1146 0.2500
Ag 0.6533 0.9033 0.7500
Ag 0.8467 0.5967 0.2500
Te 0.2500 0.4940 0.2440
Te 0.7500 0.0060 0.2560
S 0.0480 0.7500 0.7980
S 0.4520 0.2500 0.7020

Output
SG = I2_12_12_1 (24)


Name the most stable of them. run w.


Run w
Below is Ga2Tc2Ag after structural relaxation, with properties calculated at the PBE-GGA level.

a = 6.5906 Å, b = 6.5906 Å, c = 6.5906 Å
α = 147.00°, β = 147.00°, γ = 47.36°
Fractional coordinates of all 5 atoms:
Ga 0.2500 0.7500 0.5000
Ga 0.7500 0.2500 0.5000
Tc 0.0983 0.0983 0.0000
Tc 0.9017 0.9017 0.0000
Ag 0.5000 0.5000 0.0000

Output
SG = I4/mmm (139)


Run x
Below is Ga2Tc2Ag after structural relaxation, with properties calculated at the PBE-GGA level.

a = 6.6786 Å, b = 6.6786 Å, c = 6.6786 Å
α = 147.70°, β = 147.70°, γ = 46.32°
Fractional coordinates of all 5 atoms:
Ga 0.0996 0.0996 0.0000
Ga 0.9004 0.9004 0.0000
Tc 0.2500 0.7500 0.5000
Tc 0.7500 0.2500 0.5000
Ag 0.5000 0.5000 0.0000

Output
SG = I4/mmm (139)


Name the most stable of them. run x.


Run w
Below is GaAgW after structural relaxation, with properties calculated at the PBE-GGA level.

a = 4.3297 Å, b = 4.3297 Å, c = 4.3297 Å
α = 60.00°, β = 60.00°, γ = 60.00°
Fractional coordinates of all 3 atoms:
Ga 0.0000 0.0000 0.0000
Ag 0.2500 0.2500 0.2500
W 0.5000 0.5000 0.5000

Output
SG = F-43m (216)


Run x
Below is GaAgW after structural relaxation, with properties calculated at the PBE-GGA level.

a = 4.3807 Å, b = 4.3807 Å, c = 4.3807 Å
α = 60.00°, β = 60.00°, γ = 60.00°
Fractional coordinates of all 3 atoms:
Ga 0.0000 0.0000 0.0000
Ag 0.5000 0.5000 0.5000
W 0.7500 0.7500 0.7500

Output
SG = F-43m (216)


Name the most stable of them. run x.